AgSb4: relaxed, GGA-PBE.

Summary:
SG = P2_1/c, No. 14
polymorph energy (0 for the lowest one) = 0 meV/atom

```
10
Lattice="6.017 0.000 0.000 0.000 6.071 0.000 -1.428 0.000 8.350" Properties=species:S:1:pos:R:3 pbc="T T T"
Ag 0.000 0.000 0.000
Ag -0.714 3.035 4.175
Sb 0.108 1.175 6.247
Sb 0.822 1.861 2.072
Sb 2.151 4.010 0.640
Sb 1.437 5.096 4.815
Sb 3.152 0.975 3.535
Sb 2.438 2.061 7.710
Sb 3.767 4.210 6.278
Sb 4.481 4.896 2.103
```